(1)
# TcS4Cl | Alexandria via LeMat-Bulk | PBE-GGA | relaxed
data_TcS4Cl
_space_group_name_H-M_alt 'P 1'
_space_group_IT_number 1
_cell_length_a 6.5462
_cell_length_b 7.2920
_cell_length_c 8.3629
_cell_angle_alpha 112.47
_cell_angle_beta 92.13
_cell_angle_gamma 104.87
loop_
_space_group_symop_operation_xyz
'x,y,z'
loop_
_atom_site_label
_atom_site_fract_x
_atom_site_fract_y
_atom_site_fract_z
Tc1 0.1888 0.4898 0.4561
Tc2 0.8112 0.5102 0.5439
S1 0.0120 0.7115 0.4163
S2 0.1299 0.6757 0.7565
S3 0.3991 0.4974 0.2318
S4 0.4433 0.3016 0.5265
S5 0.5567 0.6984 0.4735
S6 0.6009 0.5026 0.7682
S7 0.8701 0.3243 0.2435
S8 0.9880 0.2885 0.5837
Cl1 0.2434 0.0045 0.8423
Cl2 0.7566 0.9955 0.1577
# magnetization = 0.000 μB per formula unit
# SG = P-1, No. 2
# mass density = 2.47 g/cm3
# DOS(E_F) = 2.5 states/eV/cell

=====

(2)
# Tc2SCl | Alexandria via LeMat-Bulk | PBE-GGA | relaxed
data_Tc2SCl
_space_group_name_H-M_alt 'P 1'
_space_group_IT_number 1
_cell_length_a 4.2674
_cell_length_b 4.2674
_cell_length_c 4.2674
_cell_angle_alpha 60.00
_cell_angle_beta 60.00
_cell_angle_gamma 60.00
loop_
_space_group_symop_operation_xyz
'x,y,z'
loop_
_atom_site_label
_atom_site_fract_x
_atom_site_fract_y
_atom_site_fract_z
Tc1 0.2500 0.2500 0.2500
Tc2 0.7500 0.7500 0.7500
S1 0.0000 0.0000 0.0000
Cl1 0.5000 0.5000 0.5000
# energy relative to the lowest polymorph listed for this composition = 167 meV/atom
# magnetization = 0.000 μB per formula unit
# SG = Fm-3m, No. 225
# mass density = 7.96 g/cm3
# DOS(E_F) = 4.9 states/eV/cell

=====

(3)
# TcTeSCl2 | Alexandria via LeMat-Bulk | PBE-GGA | relaxed
data_TcTeSCl2
_space_group_name_H-M_alt 'P 1'
_space_group_IT_number 1
_cell_length_a 5.2872
_cell_length_b 5.2872
_cell_length_c 5.2687
_cell_angle_alpha 90.00
_cell_angle_beta 90.00
_cell_angle_gamma 90.00
loop_
_space_group_symop_operation_xyz
'x,y,z'
loop_
_atom_site_label
_atom_site_fract_x
_atom_site_fract_y
_atom_site_fract_z
Tc1 0.0000 0.0000 0.0000
Te1 0.5000 0.5000 0.5000
S1 0.5000 0.5000 0.0000
Cl1 0.0000 0.5000 0.5000
Cl2 0.5000 0.0000 0.5000
# energy relative to the lowest polymorph listed for this composition = 696 meV/atom
# magnetization = 5.162 μB per formula unit
# SG = P4/mmm, No. 123
# mass density = 3.70 g/cm3
# DOS(E_F) = 5.5 states/eV/cell

=====

(4)
# TcTeSCl2 | Alexandria via LeMat-Bulk | PBE-GGA | relaxed
data_TcTeSCl2
_space_group_name_H-M_alt 'P 1'
_space_group_IT_number 1
_cell_length_a 4.8209
_cell_length_b 4.8209
_cell_length_c 4.6265
_cell_angle_alpha 90.00
_cell_angle_beta 90.00
_cell_angle_gamma 90.00
loop_
_space_group_symop_operation_xyz
'x,y,z'
loop_
_atom_site_label
_atom_site_fract_x
_atom_site_fract_y
_atom_site_fract_z
Tc1 0.0000 0.0000 0.0000
Te1 0.5000 0.5000 0.5000
S1 0.0000 0.0000 0.5000
Cl1 0.0000 0.5000 0.0000
Cl2 0.5000 0.0000 0.0000
# energy relative to the lowest polymorph listed for this composition = 0 meV/atom
# magnetization = 0.005 μB per formula unit
# SG = P4/mmm, No. 123
# mass density = 5.07 g/cm3
# DOS(E_F) = 4.2 states/eV/cell

=====

(5)
# TiTcSCl2 | Alexandria via LeMat-Bulk | PBE-GGA | relaxed
data_TiTcSCl2
_space_group_name_H-M_alt 'P 1'
_space_group_IT_number 1
_cell_length_a 4.9378
_cell_length_b 4.9378
_cell_length_c 4.4590
_cell_angle_alpha 90.00
_cell_angle_beta 90.00
_cell_angle_gamma 90.00
loop_
_space_group_symop_operation_xyz
'x,y,z'
loop_
_atom_site_label
_atom_site_fract_x
_atom_site_fract_y
_atom_site_fract_z
Ti1 0.0000 0.0000 0.0000
Tc1 0.5000 0.5000 0.5000
S1 0.5000 0.5000 0.0000
Cl1 0.0000 0.5000 0.5000
Cl2 0.5000 0.0000 0.5000
# energy relative to the lowest polymorph listed for this composition = 207 meV/atom
# magnetization = 2.582 μB per formula unit
# SG = P4/mmm, No. 123
# mass density = 3.80 g/cm3
# DOS(E_F) = 6.9 states/eV/cell

=====

(6)
# TiTcSCl2 | Alexandria via LeMat-Bulk | PBE-GGA | relaxed
data_TiTcSCl2
_space_group_name_H-M_alt 'P 1'
_space_group_IT_number 1
_cell_length_a 4.7874
_cell_length_b 4.7874
_cell_length_c 4.8204
_cell_angle_alpha 90.00
_cell_angle_beta 90.00
_cell_angle_gamma 90.00
loop_
_space_group_symop_operation_xyz
'x,y,z'
loop_
_atom_site_label
_atom_site_fract_x
_atom_site_fract_y
_atom_site_fract_z
Ti1 0.0000 0.0000 0.0000
Tc1 0.5000 0.5000 0.5000
S1 0.0000 0.0000 0.5000
Cl1 0.0000 0.5000 0.0000
Cl2 0.5000 0.0000 0.0000
# energy relative to the lowest polymorph listed for this composition = 0 meV/atom
# magnetization = 3.405 μB per formula unit
# SG = P4/mmm, No. 123
# mass density = 3.74 g/cm3
# DOS(E_F) = 4.9 states/eV/cell

=====

Number 1: uncorrected formation energy -218 meV per atom. Number 2: uncorrected formation energy 502 meV per atom. Number 3: uncorrected formation energy 879 meV per atom. Number 4: uncorrected formation energy 183 meV per atom. Number 5: uncorrected formation energy 199 meV per atom. Number 6: uncorrected formation energy -8 meV per atom.